# CaPbBr2

CaPbBr2 after structural relaxation (PBE, the Alexandria database).

Calculated values
The calculation puts the magnetization at 0.000 μB/atom. As for the volume: 32.195 Å³/atom. The energy above the lowest structure with this stoichiometry is 261.0 meV/atom. The crystal system is monoclinic. The value obtained for the final energy is -3.224 eV per atom. The calculation puts the uncorrected formation energy at -961 meV/atom.

Cell and atoms, written as POSCAR:
```
CaPbBr2
1.0
-1.364 2.095 5.228
-2.205 -3.580 0.859
3.162 -3.961 2.412
Br Ca Pb
2 1 1
Cartesian
-0.774 -1.554 3.632
0.170 -0.383 0.198
0.794 -3.049 1.429
-0.118 -4.232 4.876
```